Material: Pu4HgPt4
Method: DFT, GGA-PBE
State: relaxed

As for the calculated formation energy: -495 meV/atom. As for the spin magnetization: 43.86 μB per cell.

It has space group P4_2/n (No. 86, origin choice 2), with a = 8.780 Å, b = 8.780 Å, c = 5.738 Å, α = 90.00°, β = 90.00° and γ = 90.00°. Symmetry generates all atoms from Pu at (0.050, 0.662, 0.117), Hg at (0.250, 0.250, 0.250) and Pt at (0.033, 0.638, 0.615).


Material: SrInSb2
Method: DFT, GGA-PBE
State: relaxed

The calculation puts the formation energy (no corrections) at -0.455 eV/atom. As for the spin magnetization: 0.00 μB per cell.

It has space group P4/mmm (No. 123), with a = 4.922 Å, b = 4.922 Å, c = 4.869 Å, α = 90.00°, β = 90.00° and γ = 90.00°. Symmetry generates all atoms from Sr at (0.000, 0.000, 0.000), In at (0.500, 0.500, 0.000) and Sb at (0.000, 0.500, 0.500).


Material: In2PtPb
Method: DFT, GGA-PBE
State: relaxed

As for the calculated formation energy: -171 meV/atom. As for the spin magnetization: 0.00 μB per cell.

It has space group Imm2 (No. 44), with a = 3.349 Å, b = 4.467 Å, c = 13.418 Å, α = 90.00°, β = 90.00° and γ = 90.00°. Symmetry generates all atoms from In at (0.000, 0.000, 0.000), In at (0.000, 0.500, 0.182), Pt at (0.000, 0.000, 0.510) and Pb at (0.000, 0.500, 0.816).


Material: PmGa3PtRh
Method: DFT, GGA-PBE
State: relaxed

As for the calculated formation energy: -524 meV/atom. As for the spin magnetization: 0.00 μB per cell.

It has space group Cmcm (No. 63), with a = 7.928 Å, b = 10.983 Å, c = 5.891 Å, α = 90.00°, β = 90.00° and γ = 90.00°. Symmetry generates all atoms from Pm at (0.000, 0.243, 0.250), Ga at (0.000, 0.261, 0.750), Ga at (0.247, 0.500, 0.000), Pt at (0.000, 0.044, 0.750) and Rh at (0.000, 0.473, 0.750).